Ba2YPAu: optimized geometry, PBE.

Properties
Crystal system = tetragonal
DFT formation energy = -74 meV per atom
E = -3.873 eV/atom
Spin magnetization = 0.0 μB/f.u.
Fermi-level density of states = 6.56 states/eV per cell

abc: 6.3204 6.3204 4.6820
angles: 90.00 90.00 90.00
Space group P4/mmm (No. 123)
Symmetry-distinct sites (fractional):
Ba 0.0000 0.5000 0.0000 x2
Y 0.0000 0.0000 0.5000 x1
P 0.5000 0.5000 0.0000 x1
Au 0.5000 0.5000 0.5000 x1

---

Sr2AgHgGe: optimized geometry, PBE.

Properties
Crystal system = tetragonal
DFT formation energy = 164 meV per atom
E = -2.063 eV/atom
Spin magnetization = 0.0 μB/f.u.
Fermi-level density of states = 4.91 states/eV per cell

abc: 6.0749 6.0749 5.1259
angles: 90.00 90.00 90.00
Space group P4/mmm (No. 123)
Symmetry-distinct sites (fractional):
Sr 0.0000 0.5000 0.0000 x2
Ag 0.0000 0.0000 0.5000 x1
Hg 0.0000 0.0000 0.0000 x1
Ge 0.5000 0.5000 0.5000 x1

---

CrRhAu2: optimized geometry, PBE.

Properties
Crystal system = monoclinic
DFT formation energy = 175 meV per atom
E = -5.708 eV/atom
Spin magnetization = 3.5 μB/f.u.
Fermi-level density of states = 9.35 states/eV per cell

abc: 9.4457 2.9341 4.7916
angles: 90.00 101.27 90.00
Space group C2/m (No. 12)
Symmetry-distinct sites (fractional):
Cr 0.0000 0.0000 0.0000 x2
Rh 0.0000 0.5000 0.5000 x2
Au 0.2490 0.5000 0.2495 x4

---

- What is the DFT formation energy in the second record?
  164 meV per atom

---

What did the second record say?
Sr2AgHgGe: optimized geometry, PBE.

Properties
Crystal system = tetragonal
DFT formation energy = 164 meV per atom
E = -2.063 eV/atom
Spin magnetization = 0.0 μB/f.u.
Fermi-level density of states = 4.91 states/eV per cell

abc: 6.0749 6.0749 5.1259
angles: 90.00 90.00 90.00
Space group P4/mmm (No. 123)
Symmetry-distinct sites (fractional):
Sr 0.0000 0.5000 0.0000 x2
Ag 0.0000 0.0000 0.5000 x1
Hg 0.0000 0.0000 0.0000 x1
Ge 0.5000 0.5000 0.5000 x1

---

- Number 2 is which compound?
  Sr2AgHgGe